18
Lattice="-1.897 1.060 -6.861 -6.675 -1.299 -2.358 -4.458 5.303 -1.952" Properties=species:S:1:pos:R:3 comment="Ba2Li3CeF12 PBE-GGA relaxed" spacegroup="R-3m, No. 166" raw_formation_energy_mev_per_atom=-3194 density_g_cm3=4.38 crystal_system=trigonal final_energy_ev_per_fu=-95.462 pbc="T T T"
F -5.582 4.472 -6.776
F -3.886 3.151 -2.473
F -4.905 0.118 -2.660
F -2.710 1.201 -4.729
F -4.621 1.987 -7.059
F -6.136 4.497 -4.155
F -8.408 3.077 -4.113
F -10.319 3.863 -6.443
F -6.894 0.567 -7.017
F -9.143 1.913 -8.698
F -8.124 4.946 -8.512
F -7.447 0.592 -4.395
Ce 0.000 0.000 0.000
Li -0.949 0.530 -3.431
Li -2.229 2.652 -0.976
Li -3.337 -0.649 -1.179
Ba -5.173 2.010 -4.435
Ba -7.857 3.054 -6.736